PBE NpMnTcP2, optimized geometry; SG = I-4m2; calculated formation energy = -14.399 kcal/mol of atoms
1.0
3.988 0.000 0.000
0.000 3.988 0.000
-1.994 -1.994 4.837
Tc Mn Np P
1 1 1 2
direct
0.250 0.750 0.500 Tc
0.750 0.250 0.500 Mn
0.000 0.000 0.000 Np
0.375 0.375 0.750 P
0.625 0.625 0.250 P

PBE La3ZrAl, optimized geometry; SG = Pm-3m; energy relative to the lowest polymorph listed for this composition = 0.000 eV per atom; calculated formation energy = 12.172 kcal/mol of atoms
1.0
5.622 0.000 0.000
0.000 5.622 0.000
0.000 0.000 5.622
Zr La Al
1 3 1
direct
0.000 0.000 0.000 Zr
0.000 0.000 0.500 La
0.000 0.500 0.000 La
0.500 0.000 0.000 La
0.500 0.500 0.500 Al

Question: Look up the calculated formation energy of the first one.
Answer: -14.399 kcal/mol of atoms

Question: Which value of calculated formation energy does entry 2 give?
Answer: 12.172 kcal/mol of atoms